A.
Density functional theory data (GGA-PBE) for a relaxed Ti3HgPd crystal.

Space group = No. 221
Total magnetization = 0.00 μB/cell
DOS(E_F) = 8.4 states/eV per cell

Geometry as extended XYZ:
```
5
Lattice="-4.3614 1.2267 -1.4920 1.3815 -0.5939 -4.5268 -1.3499 -4.5712 0.1877" Properties=species:S:1:pos:R:3 pbc="T T T"
Ti -2.1807 0.6134 -0.7460
Ti 0.6908 -0.2969 -2.2634
Ti -0.6750 -2.2856 0.0939
Pd 0.0000 0.0000 0.0000
Hg -2.1649 -1.9692 -2.9155
```

---

B.
Density functional theory data (GGA-PBE) for a relaxed Ti3HgPd crystal.

Space group = No. 221
Total magnetization = 2.70 μB/cell
DOS(E_F) = 9.9 states/eV per cell

Geometry as extended XYZ:
```
5
Lattice="-4.2056 1.3923 -2.2324 -2.3162 -3.9557 1.8965 -1.2479 2.6501 4.0036" Properties=species:S:1:pos:R:3 pbc="T T T"
Pd -3.8848 0.0433 1.8339
Ti -0.6239 1.3250 2.0018
Ti -2.1028 0.6961 -1.1162
Ti -1.1581 -1.9779 0.9482
Hg 0.0000 0.0000 0.0000
```

---

Name the least stable of them. B.

---

A.
Density functional theory data (GGA-PBE) for a relaxed Tl4Hg2Pd crystal.

Space group = No. 139
Total magnetization = 0.00 μB/cell
DOS(E_F) = 4.8 states/eV per cell

Geometry as extended XYZ:
```
7
Lattice="5.3231 0.0000 0.0000 0.0000 5.3231 0.0000 -2.6616 -2.6616 8.0013" Properties=species:S:1:pos:R:3 pbc="T T T"
Hg 2.6616 2.6616 2.1261
Tl 0.0000 2.6616 0.0000
Tl 0.0000 0.0000 2.8162
Hg 0.0000 0.0000 5.8752
Tl 2.6616 2.6616 5.1851
Pd 0.0000 0.0000 0.0000
Tl 2.6616 0.0000 0.0000
```

---

B.
Density functional theory data (GGA-PBE) for a relaxed Tl4Hg2Pd crystal.

Space group = No. 12
Total magnetization = 0.00 μB/cell
DOS(E_F) = 2.9 states/eV per cell

Geometry as extended XYZ:
```
7
Lattice="4.6739 0.0000 -1.6177 -0.7207 5.9896 -2.0823 -0.1879 -0.0469 7.0180" Properties=species:S:1:pos:R:3 pbc="T T T"
Hg 0.7509 1.6439 2.1695
Tl 3.7118 1.5901 3.1634
Tl 1.4101 4.2974 4.0742
Tl 0.0535 4.3526 0.1546
Pd 0.0000 0.0000 0.0000
Hg 3.0144 4.2988 1.1485
Tl 2.3552 1.6453 -0.7562
```

---

Name the least stable of them. A.

---

A.
Density functional theory data (GGA-PBE) for a relaxed TlHg2Pd8 crystal.

Space group = No. 71
Total magnetization = 0.00 μB/cell
DOS(E_F) = 4.7 states/eV per cell

Geometry as extended XYZ:
```
11
Lattice="-4.2171 0.5928 1.8748 -1.7503 -5.4094 -2.2266 5.1387 -0.6870 6.0021" Properties=species:S:1:pos:R:3 pbc="T T T"
Tl -2.1085 0.2964 0.9374
Hg -0.1349 -3.7680 0.8880
Hg -0.6937 -1.7357 4.7623
Pd -0.4543 -1.4040 -0.5779
Pd -1.8618 -2.0848 2.2454
Pd -2.7167 -4.7268 1.1578
Pd 1.8880 -0.7769 4.4925
Pd 1.0331 -3.4189 3.4049
Pd 0.7192 -1.0330 1.9445
Pd -1.5479 -4.4707 3.7058
Pd -0.3744 -4.0997 6.2281
```

---

B.
Density functional theory data (GGA-PBE) for a relaxed TlHg2Pd8 crystal.

Space group = No. 12
Total magnetization = 0.00 μB/cell
DOS(E_F) = 5.8 states/eV per cell

Geometry as extended XYZ:
```
11
Lattice="4.1474 0.0000 0.0000 0.0000 6.3533 0.3554 -2.0737 -2.2613 6.9312" Properties=species:S:1:pos:R:3 pbc="T T T"
Pd 2.0737 -0.3131 6.4572
Hg 2.0737 0.9902 3.9565
Pd 0.0000 1.5962 5.8669
Pd 2.0737 4.9673 2.8114
Pd 2.0737 3.5633 5.3062
Tl 2.0737 0.0000 0.0000
Pd 2.0737 2.4957 1.4197
Pd 0.0000 0.5286 1.9803
Pd 0.0000 -0.8754 4.4752
Hg 0.0000 3.1018 3.3301
Pd 0.0000 4.4051 0.8294
```

---

Name the least stable of them. A.